1.
CsGaPd: relaxed, GGA-PBE.

Structure (POSCAR):
```
CsGaPd
1.0
0.000 3.854 3.854
3.854 0.000 3.854
3.854 3.854 0.000
Cs Ga Pd
1 1 1
Cartesian
0.000 0.000 0.000 Cs
5.781 5.781 5.781 Ga
1.927 1.927 1.927 Pd
```

Results
**Energy above the most stable polymorph in this dataset**: 517.7 meV/atom
**Space-group type**: F-43m



2.
ZnSeO: relaxed, GGA-PBE.

Structure (POSCAR):
```
ZnSeO
1.0
7.630 0.000 0.000
-3.815 6.608 0.000
0.000 0.000 2.943
Zn Se O
3 3 3
Cartesian
-1.534 2.657 0.000 Zn
3.069 0.000 0.000 Zn
2.281 3.950 0.000 Zn
0.000 0.000 0.000 Se
0.000 4.405 1.471 Se
3.815 2.203 1.471 Se
-0.774 1.341 1.471 O
1.548 0.000 1.471 O
3.041 5.267 1.471 O
```

Results
**DFT total energy**: -3.491 eV per atom
**Space-group type**: P-62m



3.
Tb2Ni: relaxed, GGA-PBE.

Structure (POSCAR):
```
Tb2Ni
1.0
0.000 5.788 5.788
5.788 0.000 5.788
5.788 5.788 0.000
Tb Ni
4 2
Cartesian
0.000 0.000 0.000 Tb
2.894 2.894 0.000 Tb
2.894 0.000 2.894 Tb
0.000 2.894 2.894 Tb
1.447 1.447 1.447 Ni
10.130 10.130 10.130 Ni
```

Results
**Space-group type**: Fd-3m
**ΔE_f**: 1.0594 eV per atom



4.
SmGdPb: relaxed, GGA-PBE.

Structure (POSCAR):
```
SmGdPb
1.0
0.000 3.766 3.766
3.766 0.000 3.766
3.766 3.766 0.000
Sm Gd Pb
1 1 1
Cartesian
0.000 0.000 0.000 Sm
5.649 5.649 5.649 Gd
1.883 1.883 1.883 Pb
```

Results
**DFT total energy**: -4.034 eV per atom
**Space-group type**: F-43m